1.
This record from OQMD describes a relaxed NaSnPd2 crystal. The functional is PBE.

Geometry as extended XYZ:
```
16
Lattice="7.691 0.000 0.000 0.000 7.340 0.000 0.000 0.000 5.765" Properties=species:S:1:pos:R:3 pbc="T T T"
Na 0.224 1.835 0.828
Na 3.621 5.505 3.710
Na 4.070 1.835 2.055
Na 7.467 5.505 4.937
Sn 0.862 5.505 2.060
Sn 2.984 1.835 4.942
Sn 4.708 5.505 0.823
Sn 6.829 1.835 3.705
Pd 1.368 0.394 3.391
Pd 1.368 3.276 3.391
Pd 2.478 4.064 0.508
Pd 2.478 6.946 0.508
Pd 5.213 0.394 5.257
Pd 5.213 3.276 5.257
Pd 6.323 4.064 2.374
Pd 6.323 6.946 2.374
```

Summary:
**Space group**: Pnma (62)
**Total energy**: -4.29 eV/atom

***

2.
This record from OQMD describes a relaxed Tb2Ag2TeSe3 crystal. The functional is PBE.

Geometry as extended XYZ:
```
8
Lattice="4.956 -4.753 0.000 4.956 4.753 0.000 -0.082 0.000 4.405" Properties=species:S:1:pos:R:3 pbc="T T T"
Tb 0.000 0.000 0.000
Tb 5.153 0.000 1.736
Ag 2.543 2.361 0.953
Ag 2.543 -2.361 0.953
Te 2.945 0.000 3.922
Se 5.014 2.840 2.120
Se 6.993 0.000 4.050
Se 5.014 -2.840 2.120
```

Summary:
**Space group**: Cm (8)
**Magnetic moment**: 0.00 μB/f.u.
**Total energy**: -4.71 eV/atom

***

3.
This record from OQMD describes a relaxed LaPrI2BrN crystal. The functional is PBE.

Geometry as extended XYZ:
```
12
Lattice="10.148 -2.073 0.000 10.148 2.073 0.000 -7.612 0.000 10.087" Properties=species:S:1:pos:R:3 pbc="T T T"
La -2.060 0.000 4.658
La 14.743 0.000 5.428
Pr 5.736 0.000 2.166
Pr 6.948 0.000 7.921
I 2.816 0.000 3.656
I 3.684 0.000 7.766
I 9.000 0.000 2.320
I 9.868 0.000 6.430
Br 3.544 0.000 0.012
Br 9.140 0.000 10.075
N -3.472 0.000 6.550
N 16.155 0.000 3.537
```

Summary:
**Space group**: C2/m (12)
**Magnetic moment**: 0.00 μB/f.u.
**Total energy**: -5.41 eV/atom

***

4.
This record from OQMD describes a relaxed Cd2Os2O7 crystal. The functional is PBE.

Geometry as extended XYZ:
```
22
Lattice="0.000 5.100 5.100 5.100 0.000 5.100 5.100 5.100 0.000" Properties=species:S:1:pos:R:3 pbc="T T T"
Cd 0.000 0.000 0.000
Cd 2.550 2.550 0.000
Cd 2.550 0.000 2.550
Cd 0.000 2.550 2.550
Os 5.100 2.550 2.550
Os 2.550 5.100 2.550
Os 2.550 2.550 5.100
Os 5.100 5.100 5.100
O 1.275 1.275 1.275
O 3.825 3.825 1.846
O 3.825 1.846 3.825
O 5.804 3.825 3.825
O 6.375 6.375 4.396
O 6.375 4.396 6.375
O 8.354 6.375 6.375
O 1.846 3.825 3.825
O 3.825 5.804 3.825
O 3.825 3.825 5.804
O 4.396 6.375 6.375
O 6.375 8.354 6.375
O 6.375 6.375 8.354
O 8.925 8.925 8.925
```

Summary:
**Space group**: Fd-3m (227)
**Magnetic moment**: 0.29 μB/f.u.
**Total energy**: -6.38 eV/atom

***

5.
This record from OQMD describes a relaxed NdGa6Ni crystal. The functional is PBE.

Geometry as extended XYZ:
```
8
Lattice="6.375 0.000 0.000 -3.187 5.521 0.000 0.000 0.000 4.256" Properties=species:S:1:pos:R:3 pbc="T T T"
Nd 0.000 0.000 0.000
Ga -1.376 2.886 0.000
Ga 1.846 1.066 2.128
Ga 1.376 2.886 0.000
Ga 0.000 5.270 0.000
Ga 4.529 1.066 2.128
Ga 3.187 3.389 2.128
Ni 0.000 3.680 2.128
```

Summary:
**Space group**: P-6m2 (187)
**Magnetic moment**: 0.01 μB/f.u.
**Total energy**: -3.75 eV/atom

***

6.
This record from OQMD describes a relaxed RbAgIr crystal. The functional is PBE.

Geometry as extended XYZ:
```
3
Lattice="0.000 3.559 3.559 3.559 0.000 3.559 3.559 3.559 0.000" Properties=species:S:1:pos:R:3 pbc="T T T"
Rb 0.000 0.000 0.000
Ag 5.338 5.338 5.338
Ir 1.779 1.779 1.779
```

Summary:
**Space group**: F-43m (216)
**Magnetic moment**: 1.02 μB/f.u.
**Total energy**: -2.31 eV/atom

***

7.
This record from OQMD describes a relaxed ZrGaNO crystal. The functional is PBE.

Geometry as extended XYZ:
```
8
Lattice="3.381 0.000 0.000 0.000 3.381 0.000 0.000 0.000 8.513" Properties=species:S:1:pos:R:3 pbc="T T T"
Zr 0.845 0.845 1.330
Zr 2.536 2.536 7.183
Ga 0.845 2.536 4.257
Ga 2.536 0.845 4.257
N 0.845 0.845 6.287
N 2.536 2.536 2.226
O 0.845 2.536 0.000
O 2.536 0.845 0.000
```

Summary:
**Space group**: P4/nmm (129)
**Magnetic moment**: 0.02 μB/f.u.
**Total energy**: -7.22 eV/atom

***

8.
This record from OQMD describes a relaxed FeNiAs4 crystal. The functional is PBE.

Geometry as extended XYZ:
```
6
Lattice="5.127 0.000 0.000 0.000 3.129 0.000 -0.010 0.000 5.939" Properties=species:S:1:pos:R:3 pbc="T T T"
Fe 0.000 0.000 0.000
Ni 2.559 1.564 2.969
As 0.935 0.000 2.141
As 1.587 1.564 5.153
As 3.530 1.564 0.786
As 4.183 0.000 3.798
```

Summary:
**Space group**: P2/m (10)
**Magnetic moment**: 0.61 μB/f.u.
**Total energy**: -5.68 eV/atom

***

9.
This record from OQMD describes a relaxed Pr2Co3Si5 crystal. The functional is PBE.

Geometry as extended XYZ:
```
20
Lattice="-4.846 5.748 2.847 4.846 -5.748 2.847 4.846 5.748 -2.847" Properties=species:S:1:pos:R:3 pbc="T T T"
Pr 2.292 1.511 0.000
Pr 2.292 -1.511 2.847
Pr 2.555 7.259 0.000
Pr 2.555 4.237 2.847
Co 3.780 -4.184 2.847
Co 4.846 0.000 1.423
Co 3.780 4.184 0.000
Co 1.066 1.564 2.847
Co 0.000 5.748 1.423
Co 1.066 9.931 0.000
Si 4.846 -2.671 1.423
Si 6.305 1.190 0.000
Si 0.000 0.000 1.423
Si 1.458 4.557 0.000
Si 4.846 2.671 1.423
Si 0.000 3.077 1.423
Si 3.388 1.190 2.847
Si 0.000 0.000 4.270
Si -1.458 4.557 2.847
Si 0.000 8.419 1.423
```

Summary:
**Space group**: Ibam (72)
**Magnetic moment**: 0.41 μB/f.u.
**Total energy**: -6.50 eV/atom

***

10.
This record from OQMD describes a relaxed RbZrTlS3 crystal. The functional is PBE.

Geometry as extended XYZ:
```
12
Lattice="1.889 -8.518 0.000 1.889 8.518 0.000 0.000 0.000 11.273" Properties=species:S:1:pos:R:3 pbc="T T T"
Rb 1.889 5.587 8.455
Rb 1.889 -5.587 2.818
Zr 1.889 0.000 0.000
Zr 1.889 0.000 5.636
Tl 1.889 6.300 2.818
Tl 1.889 -6.300 8.455
S 1.889 6.790 5.678
S 1.889 6.790 11.231
S 1.889 0.082 8.455
S 1.889 -0.082 2.818
S 1.889 -6.790 0.042
S 1.889 -6.790 5.595
```

Summary:
**Space group**: Cmcm (63)
**Magnetic moment**: 0.00 μB/f.u.
**Total energy**: -5.13 eV/atom

***

11.
This record from OQMD describes a relaxed LaPrTe crystal. The functional is PBE.

Geometry as extended XYZ:
```
3
Lattice="0.000 3.750 3.750 3.750 0.000 3.750 3.750 3.750 0.000" Properties=species:S:1:pos:R:3 pbc="T T T"
La 0.000 0.000 0.000
Pr 3.750 3.750 3.750
Te 1.875 1.875 1.875
```

Summary:
**Space group**: F-43m (216)
**Magnetic moment**: 0.55 μB/f.u.
**Total energy**: -5.03 eV/atom

***

12.
This record from OQMD describes a relaxed SrPmGe crystal. The functional is PBE.

Geometry as extended XYZ:
```
3
Lattice="0.000 3.668 3.668 3.668 0.000 3.668 3.668 3.668 0.000" Properties=species:S:1:pos:R:3 pbc="T T T"
Sr 0.000 0.000 0.000
Pm 3.668 3.668 3.668
Ge 5.503 5.503 5.503
```

Summary:
**Space group**: F-43m (216)
**Magnetic moment**: 0.00 μB/f.u.
**Total energy**: -4.11 eV/atom